This record from the Alexandria database describes a geometry-optimized Pm3Y5 structure. The functional is PBE.

Cell lengths 3.6627, 5.7497, 12.7117 Å; angles 90.00, 90.00, 90.00 degrees
Closest atoms and distances in Å follow each position.
Fractional positions:
Pm: 0.0000 0.0000 0.0000  6 Y 3.58-3.66, 6 Pm 3.61-3.68
Pm: 0.0000 0.5000 0.1714  8 Pm 3.56-3.66, 4 Y 3.66-3.74
Pm: 0.5000 0.0000 0.2514  8 Pm 3.56-3.68, 4 Y 3.59-3.69
Y: 0.0000 0.0000 0.5036  10 Y 3.55-3.66, 2 Pm 3.69
Y: 0.0000 0.5000 0.6668  12 Y 3.55-3.66
Y: 0.5000 0.0000 0.7506  10 Y 3.55-3.66, 2 Pm 3.66
Y: 0.5000 0.5000 0.4205  8 Y 3.57-3.66, 4 Pm 3.59-3.66
Y: 0.5000 0.5000 0.9151  6 Y 3.55-3.66, 6 Pm 3.58-3.74

Computed properties:
Distance to the lowest polymorph of the same formula, eV per atom: 0.000